[1]
VASP calculation (GGA-PBE) on a geometry-optimized RbYSi structure.

abc: 9.076 5.114 8.191
angles: 90.00 90.00 90.00
Positions (direct):
Rb  0.008  0.250  0.145
Rb  0.492  0.750  0.645
Rb  0.508  0.250  0.355
Rb  0.992  0.750  0.855
Y  0.143  0.250  0.578
Y  0.357  0.750  0.078
Y  0.643  0.250  0.922
Y  0.857  0.750  0.422
Si  0.175  0.750  0.388
Si  0.325  0.250  0.888
Si  0.675  0.750  0.112
Si  0.825  0.250  0.612

Computed properties:
For the uncorrected formation energy, the calculation gives -0.125 eV per atom.



[2]
VASP calculation (GGA-PBE) on a geometry-optimized Ce4Si2Ir structure.

abc: 9.710 9.710 9.710
angles: 27.88 27.88 27.88
Positions (direct):
Ce  0.122  0.122  0.122
Ce  0.305  0.305  0.305
Ce  0.695  0.695  0.695
Ce  0.878  0.878  0.878
Si  0.411  0.411  0.411
Si  0.589  0.589  0.589
Ir  0.500  0.500  0.500

Computed properties:
For the uncorrected formation energy, the calculation gives -0.484 eV per atom.



[3]
VASP calculation (GGA-PBE) on a geometry-optimized Dy6SnTe3Pb2 structure.

abc: 9.866 9.866 8.818
angles: 103.20 103.20 25.85
Positions (direct):
Dy  0.002  0.002  0.241
Dy  0.332  0.332  0.422
Dy  0.337  0.337  0.913
Dy  0.663  0.663  0.087
Dy  0.668  0.668  0.578
Dy  0.998  0.998  0.759
Sn  0.500  0.500  0.000
Te  0.167  0.167  0.833
Te  0.500  0.500  0.500
Te  0.833  0.833  0.167
Pb  0.167  0.167  0.333
Pb  0.833  0.833  0.667

Computed properties:
For the uncorrected formation energy, the calculation gives -0.967 eV per atom.



[4]
VASP calculation (GGA-PBE) on a geometry-optimized ZnPPb3 structure.

abc: 5.299 5.299 5.299
angles: 90.00 90.00 90.00
Positions (direct):
Zn  0.000  0.000  0.000
P  0.500  0.500  0.500
Pb  0.000  0.000  0.500
Pb  0.000  0.500  0.000
Pb  0.500  0.000  0.000

Computed properties:
Its energy of formation is 601.2 meV/atom.



[5]
VASP calculation (GGA-PBE) on a geometry-optimized SmSc4S6 structure.

abc: 6.363 6.363 19.044
angles: 90.00 90.00 146.07
Positions (direct):
Sm  0.154  0.846  0.750
Sm  0.846  0.154  0.250
Sc  0.094  0.906  0.124
Sc  0.094  0.906  0.376
Sc  0.360  0.640  0.039
Sc  0.360  0.640  0.461
Sc  0.640  0.360  0.539
Sc  0.640  0.360  0.961
Sc  0.906  0.094  0.624
Sc  0.906  0.094  0.876
S  0.000  0.000  0.000
S  0.000  0.000  0.500
S  0.177  0.823  0.250
S  0.268  0.732  0.587
S  0.268  0.732  0.913
S  0.455  0.545  0.161
S  0.455  0.545  0.339
S  0.545  0.455  0.661
S  0.545  0.455  0.839
S  0.732  0.268  0.087
S  0.732  0.268  0.413
S  0.823  0.177  0.750

Computed properties:
For the uncorrected formation energy, the calculation gives -1.954 eV per atom.



[6]
VASP calculation (GGA-PBE) on a geometry-optimized RbLiAgO2 structure.

abc: 6.564 6.564 5.419
angles: 90.00 90.00 132.56
Positions (direct):
Rb  0.250  0.750  0.786
Rb  0.750  0.250  0.214
Li  0.250  0.250  0.000
Li  0.750  0.750  0.000
Ag  0.000  0.000  0.500
Ag  0.500  0.500  0.500
O  0.093  0.907  0.191
O  0.407  0.593  0.191
O  0.593  0.407  0.809
O  0.907  0.093  0.809

Computed properties:
For the uncorrected formation energy, the calculation gives -0.915 eV per atom.



[7]
VASP calculation (GGA-PBE) on a geometry-optimized RbBaTlHg structure.

abc: 6.085 6.085 6.085
angles: 60.00 60.00 60.00
Positions (direct):
Rb  0.000  0.000  0.000
Ba  0.500  0.500  0.500
Tl  0.750  0.750  0.750
Hg  0.250  0.250  0.250

Computed properties:
Its energy of formation is -212.0 meV/atom.



[8]
VASP calculation (GGA-PBE) on a geometry-optimized Hf2ReAg4 structure.

abc: 7.694 7.694 7.694
angles: 141.94 141.94 54.92
Positions (direct):
Hf  0.103  0.103  0.000
Hf  0.897  0.897  0.000
Re  0.500  0.500  0.000
Ag  0.000  0.500  0.500
Ag  0.305  0.305  0.000
Ag  0.500  0.000  0.500
Ag  0.695  0.695  0.000

Computed properties:
Its energy of formation is 1209.0 meV/atom.



[9]
VASP calculation (GGA-PBE) on a geometry-optimized HfZnSb3 structure.

abc: 5.504 5.504 5.504
angles: 90.00 90.00 90.00
Positions (direct):
Hf  0.000  0.000  0.000
Zn  0.500  0.500  0.500
Sb  0.000  0.000  0.500
Sb  0.000  0.500  0.000
Sb  0.500  0.000  0.000

Computed properties:
For the uncorrected formation energy, the calculation gives 0.355 eV per atom.



[10]
VASP calculation (GGA-PBE) on a geometry-optimized IrOs2W structure.

abc: 9.138 9.138 9.138
angles: 17.37 17.37 17.37
Positions (direct):
Ir  0.000  0.000  0.000
Os  0.498  0.498  0.498
Os  0.750  0.750  0.750
W  0.250  0.250  0.250

Computed properties:
Its energy of formation is 68.4 meV/atom.



[11]
VASP calculation (GGA-PBE) on a geometry-optimized Pu2ZnGe3Pd4 structure.

abc: 4.216 4.216 10.612
angles: 90.00 90.00 90.00
Positions (direct):
Pu  0.000  0.500  0.248
Pu  0.500  0.000  0.752
Zn  0.500  0.500  0.000
Ge  0.000  0.000  0.000
Ge  0.000  0.500  0.634
Ge  0.500  0.000  0.366
Pd  0.000  0.000  0.500
Pd  0.000  0.500  0.865
Pd  0.500  0.000  0.135
Pd  0.500  0.500  0.500

Computed properties:
Its energy of formation is -566.1 meV/atom.



[12]
VASP calculation (GGA-PBE) on a geometry-optimized CaIn2PRu structure.

abc: 5.091 5.091 5.376
angles: 90.00 90.00 90.00
Positions (direct):
Ca  0.000  0.000  0.000
In  0.000  0.500  0.500
In  0.500  0.000  0.500
P  0.500  0.500  0.000
Ru  0.000  0.000  0.500

Computed properties:
Its energy of formation is 346.1 meV/atom.



What is the formula in the third record?
Dy6SnTe3Pb2



Number 10 is which compound?
IrOs2W